Record 1
This record from Alexandria describes MgCrSi2 after structural relaxation. The functional is PBE-GGA.

The value obtained for the energy relative to the elements, uncorrected is 0.105 eV per atom. Its density of states at the Fermi level is 3.03 states/eV/cell. The value obtained for the total moment is 3.618 μB/cell.

The space group is I-4m2 (No. 119) and the conventional cell measures 3.713, 3.713 and 8.185 Å, with angles of 90.00, 90.00 and 90.00 degrees. The asymmetric unit holds Mg at (0.000, 0.000, 0.000), Cr at (0.000, 0.500, 0.750), Si at (0.000, 0.000, 0.500) and Si at (0.000, 0.500, 0.250).



Record 2
This record from Alexandria describes CePuTeBr2 after structural relaxation. The functional is PBE-GGA.

The value obtained for the energy relative to the elements, uncorrected is -1.125 eV per atom. Its density of states at the Fermi level is 29.33 states/eV/cell. The value obtained for the total moment is 15.983 μB/cell.

The space group is I4mm (No. 107) and the conventional cell measures 4.622, 4.622 and 14.099 Å, with angles of 90.00, 90.00 and 90.00 degrees. The asymmetric unit holds Ce at (0.000, 0.000, 0.000), Pu at (0.000, 0.000, 0.782), Te at (0.000, 0.000, 0.390) and Br at (0.000, 0.500, 0.141).



Record 3
This record from Alexandria describes ErThTl after structural relaxation. The functional is PBE-GGA.

Its density of states at the Fermi level is 6.06 states/eV/cell. The calculated formation energy is -0.336 eV/f.u. The value obtained for the total moment is 0.000 μB/cell.

The space group is I4mm (No. 107) and the conventional cell measures 3.633, 3.633 and 13.679 Å, with angles of 90.00, 90.00 and 90.00 degrees. The asymmetric unit holds Er at (0.000, 0.000, 0.000), Th at (0.000, 0.000, 0.682) and Tl at (0.000, 0.000, 0.350).



Record 4
This record from Alexandria describes SrCdGa2Ir after structural relaxation. The functional is PBE-GGA.

Its density of states at the Fermi level is 0.78 states/eV/cell. The calculated formation energy is -1.323 eV/f.u. The value obtained for the total moment is 0.000 μB/cell.

The space group is P4/mmm (No. 123) and the conventional cell measures 4.862, 4.862 and 5.813 Å, with angles of 90.00, 90.00 and 90.00 degrees. The asymmetric unit holds Sr at (0.000, 0.000, 0.000), Cd at (0.500, 0.500, 0.000), Ga at (0.000, 0.500, 0.500) and Ir at (0.000, 0.000, 0.500).